# H2WAuF

Crystalline H2WAuF at its relaxed geometry (PBE with a Hubbard U, Alexandria).

Values from the calculation:
The value obtained for the total magnetic moment is 3.6 μB per cell. The total energy is -3.54 eV/atom. The space-group type is P4/mmm.

a = 3.6346 Å, b = 3.6346 Å, c = 5.7203 Å
α = 90.00°, β = 90.00°, γ = 90.00°
With the nearest neighbours (Å) after each atom.
Positions (direct):
H  0.0000  0.5000  0.0000  2 W 1.82
H  0.5000  0.0000  0.0000  2 W 1.82
W  0.0000  0.0000  0.0000  4 H 1.82
Au  0.0000  0.0000  0.5000  4 F 2.57, 2 W 2.86
F  0.5000  0.5000  0.5000  4 Au 2.57